The following is a DFT calculation (PBE+U) of a relaxed structure of TeMoI2O.

Structure (extended XYZ):
```
5
Lattice="6.012 0.000 0.000 0.000 6.012 0.000 0.000 0.000 3.881" Properties=species:S:1:pos:R:3 pbc="T T T"
I 0.000 3.006 0.000
I 3.006 0.000 0.000
Mo 0.000 0.000 0.000
Te 3.006 3.006 1.941
O 0.000 0.000 1.941
```

E_tot   -18.97 eV per cell
SG   P4/mmm
Fermi-level density of states   0.842 states/eV per atom